## YCo2Cl (meta-GGA SCAN)

Data for a PBEsol-optimized structure of YCo2Cl.

Output
E_form (uncorrected) in meV per atom: -330.0
Distance to the lowest polymorph of the same formula in eV/atom: 0.1618
Crystal system: tetragonal

The structure in CIF format:
```
data_YCo2Cl
_chemical_formula_sum 'Y1 Co2 Cl1'
_symmetry_space_group_name_H-M 'P 4 m m'
_symmetry_Int_Tables_number 99
_cell_length_a 3.202
_cell_length_b 3.202
_cell_length_c 7.213
_cell_angle_alpha 90.00
_cell_angle_beta 90.00
_cell_angle_gamma 90.00
loop_
_symmetry_equiv_pos_as_xyz
'x,y,z'
'-y,x,z'
'-x,-y,z'
'y,-x,z'
'-x,y,z'
'y,x,z'
'x,-y,z'
'-y,-x,z'
loop_
_atom_site_label
_atom_site_fract_x
_atom_site_fract_y
_atom_site_fract_z
Y1 0.000 0.000 0.000
Co1 0.000 0.000 0.646
Co2 0.500 0.500 0.728
Cl1 0.500 0.500 0.226
```



## Na3LiI (meta-GGA SCAN)

Data for a PBEsol-optimized structure of Na3LiI.

Output
E_form (uncorrected) in meV per atom: -66.0
Crystal system: cubic

The structure in CIF format:
```
data_Na3LiI
_chemical_formula_sum 'Na3 Li1 I1'
_symmetry_space_group_name_H-M 'P m -3 m'
_symmetry_Int_Tables_number 221
_symmetry_space_group_name_Hall '-P 4 2 3'
_cell_length_a 5.733
_cell_length_b 5.733
_cell_length_c 5.733
_cell_angle_alpha 90.00
_cell_angle_beta 90.00
_cell_angle_gamma 90.00
loop_
_atom_site_label
_atom_site_fract_x
_atom_site_fract_y
_atom_site_fract_z
Na1 0.000 0.000 0.500
Li1 0.000 0.000 0.000
I1 0.500 0.500 0.500
```



## MnMoAu2 (meta-GGA SCAN)

Data for a PBEsol-optimized structure of MnMoAu2.

Output
DFT formation energy in eV/atom: 0.0157
Distance to the lowest polymorph of the same formula in eV/atom: 0.0245
Crystal system: orthorhombic

The structure in CIF format:
```
data_MnMoAu2
_chemical_formula_sum 'Mn2 Mo2 Au4'
_symmetry_space_group_name_H-M 'I m m 2'
_symmetry_Int_Tables_number 44
_cell_length_a 3.934
_cell_length_b 3.945
_cell_length_c 7.843
_cell_angle_alpha 90.00
_cell_angle_beta 90.00
_cell_angle_gamma 90.00
loop_
_symmetry_equiv_pos_as_xyz
'x,y,z'
'-x,-y,z'
'-x,y,z'
'x,-y,z'
'x+1/2,y+1/2,z+1/2'
'-x+1/2,-y+1/2,z+1/2'
'-x+1/2,y+1/2,z+1/2'
'x+1/2,-y+1/2,z+1/2'
loop_
_atom_site_label
_atom_site_fract_x
_atom_site_fract_y
_atom_site_fract_z
Mn1 0.000 0.000 0.000
Mo1 0.000 0.500 0.749
Au1 0.000 0.000 0.499
Au2 0.000 0.500 0.250
```



## CaMg (meta-GGA SCAN)

Data for a PBEsol-optimized structure of CaMg.

Output
DFT formation energy in eV/atom: 0.2694
Crystal system: cubic

The structure in CIF format:
```
data_CaMg
_chemical_formula_sum 'Ca4 Mg4'
_symmetry_space_group_name_H-M 'F m -3 m'
_symmetry_Int_Tables_number 225
_symmetry_space_group_name_Hall '-F 4 2 3'
_cell_length_a 6.522
_cell_length_b 6.522
_cell_length_c 6.522
_cell_angle_alpha 90.00
_cell_angle_beta 90.00
_cell_angle_gamma 90.00
loop_
_atom_site_label
_atom_site_fract_x
_atom_site_fract_y
_atom_site_fract_z
Ca1 0.000 0.000 0.000
Mg1 0.000 0.000 0.500
```



## BaH4O3 (meta-GGA SCAN)

Data for a PBEsol-optimized structure of BaH4O3.

Output
Distance to the lowest polymorph of the same formula in eV/atom: 0.0000
Crystal system: orthorhombic

The structure in CIF format:
```
data_BaH4O3
_chemical_formula_sum 'Ba2 H8 O6'
_symmetry_space_group_name_H-M 'P m c 21'
_symmetry_Int_Tables_number 26
_cell_length_a 3.906
_cell_length_b 6.211
_cell_length_c 6.825
_cell_angle_alpha 90.00
_cell_angle_beta 90.00
_cell_angle_gamma 90.00
loop_
_symmetry_equiv_pos_as_xyz
'x,y,z'
'-x,-y,z+1/2'
'-x,y,z'
'x,-y,z+1/2'
loop_
_atom_site_label
_atom_site_fract_x
_atom_site_fract_y
_atom_site_fract_z
Ba1 0.000 0.145 0.000
H1 0.206 0.377 0.556
H2 0.500 0.201 0.360
H3 0.500 0.485 0.830
O1 0.000 0.296 0.614
O2 0.500 0.066 0.284
O3 0.500 0.476 0.973
```



## MnCdFeN2 (meta-GGA SCAN)

Data for a PBEsol-optimized structure of MnCdFeN2.

Output
E_form (uncorrected) in meV per atom: 2099.3
Crystal system: tetragonal

The structure in CIF format:
```
data_MnCdFeN2
_chemical_formula_sum 'Mn1 Cd1 Fe1 N2'
_symmetry_space_group_name_H-M 'P 4/m m m'
_symmetry_Int_Tables_number 123
_symmetry_space_group_name_Hall '-P 4 2'
_cell_length_a 4.089
_cell_length_b 4.089
_cell_length_c 4.925
_cell_angle_alpha 90.00
_cell_angle_beta 90.00
_cell_angle_gamma 90.00
loop_
_atom_site_label
_atom_site_fract_x
_atom_site_fract_y
_atom_site_fract_z
Mn1 0.000 0.000 0.000
Cd1 0.000 0.000 0.500
Fe1 0.500 0.500 0.000
N1 0.000 0.500 0.500
```



## LiTePI2 (meta-GGA SCAN)

Data for a PBEsol-optimized structure of LiTePI2.

Output
E_form (uncorrected) in meV per atom: 323.5
Crystal system: tetragonal

The structure in CIF format:
```
data_LiTePI2
_chemical_formula_sum 'Li1 Te1 P1 I2'
_symmetry_space_group_name_H-M 'P 4/m m m'
_symmetry_Int_Tables_number 123
_symmetry_space_group_name_Hall '-P 4 2'
_cell_length_a 6.047
_cell_length_b 6.047
_cell_length_c 5.270
_cell_angle_alpha 90.00
_cell_angle_beta 90.00
_cell_angle_gamma 90.00
loop_
_atom_site_label
_atom_site_fract_x
_atom_site_fract_y
_atom_site_fract_z
Li1 0.000 0.000 0.000
Te1 0.000 0.000 0.500
P1 0.500 0.500 0.000
I1 0.000 0.500 0.500
```



## TeC4 (meta-GGA SCAN)

Data for a PBEsol-optimized structure of TeC4.

Output
E_form (uncorrected) in meV per atom: 1769.0
Crystal system: trigonal

The structure in CIF format:
```
data_TeC4
_chemical_formula_sum 'Te1 C4'
_symmetry_space_group_name_H-M 'P -3 m 1'
_symmetry_Int_Tables_number 164
_symmetry_space_group_name_Hall '-P 3 2"'
_cell_length_a 3.0832
_cell_length_b 3.0832
_cell_length_c 5.8985
_cell_angle_alpha 90.00
_cell_angle_beta 90.00
_cell_angle_gamma 120.00
loop_
_atom_site_label
_atom_site_fract_x
_atom_site_fract_y
_atom_site_fract_z
Te1 0.0000 0.0000 0.0000
C1 0.3333 0.6667 0.2034
C2 0.3333 0.6667 0.4512
```



## MnNiO2F (meta-GGA SCAN)

Data for a PBEsol-optimized structure of MnNiO2F.

Output
E_form (uncorrected) in meV per atom: -945.0
Crystal system: tetragonal

The structure in CIF format:
```
data_MnNiO2F
_chemical_formula_sum 'Mn1 Ni1 O2 F1'
_symmetry_space_group_name_H-M 'P 4/m m m'
_symmetry_Int_Tables_number 123
_symmetry_space_group_name_Hall '-P 4 2'
_cell_length_a 3.453
_cell_length_b 3.453
_cell_length_c 5.030
_cell_angle_alpha 90.00
_cell_angle_beta 90.00
_cell_angle_gamma 90.00
loop_
_atom_site_label
_atom_site_fract_x
_atom_site_fract_y
_atom_site_fract_z
Mn1 0.000 0.000 0.000
Ni1 0.000 0.000 0.500
O1 0.000 0.500 0.500
F1 0.500 0.500 0.000
```



## Li3FeCu4O8 (meta-GGA SCAN)

Data for a PBEsol-optimized structure of Li3FeCu4O8.

Output
E_form (uncorrected) in meV per atom: -1328.3
Crystal system: monoclinic

The structure in CIF format:
```
data_Li3FeCu4O8
_chemical_formula_sum 'Li6 Fe2 Cu8 O16'
_symmetry_space_group_name_H-M 'C 1 2/m 1'
_symmetry_Int_Tables_number 12
_cell_length_a 10.460
_cell_length_b 5.641
_cell_length_c 5.477
_cell_angle_alpha 90.00
_cell_angle_beta 117.59
_cell_angle_gamma 90.00
loop_
_symmetry_equiv_pos_as_xyz
'x,y,z'
'-x,-y,-z'
'-x,y,-z'
'x,-y,z'
'x+1/2,y+1/2,z'
'-x+1/2,-y+1/2,-z'
'-x+1/2,y+1/2,-z'
'x+1/2,-y+1/2,z'
loop_
_atom_site_label
_atom_site_fract_x
_atom_site_fract_y
_atom_site_fract_z
Li1 0.000 0.000 0.000
Li2 0.250 0.250 0.500
Fe1 0.000 0.500 0.500
Cu1 0.000 0.000 0.500
Cu2 0.000 0.500 0.000
Cu3 0.250 0.250 0.000
O1 0.029 0.271 0.276
O2 0.199 0.500 0.729
O3 0.205 0.000 0.741
```



## MgSc2Ag (meta-GGA SCAN)

Data for a PBEsol-optimized structure of MgSc2Ag.

Output
DFT formation energy in eV/atom: -0.2046
Crystal system: tetragonal

The structure in CIF format:
```
data_MgSc2Ag
_chemical_formula_sum 'Mg1 Sc2 Ag1'
_symmetry_space_group_name_H-M 'P 4/m m m'
_symmetry_Int_Tables_number 123
_symmetry_space_group_name_Hall '-P 4 2'
_cell_length_a 3.480
_cell_length_b 3.480
_cell_length_c 6.869
_cell_angle_alpha 90.00
_cell_angle_beta 90.00
_cell_angle_gamma 90.00
loop_
_atom_site_label
_atom_site_fract_x
_atom_site_fract_y
_atom_site_fract_z
Mg1 0.000 0.000 0.000
Sc1 0.500 0.500 0.264
Ag1 0.000 0.000 0.500
```



## In2SCl (meta-GGA SCAN)

Data for a PBEsol-optimized structure of In2SCl.

Output
E_form (uncorrected) in meV per atom: -397.1
Crystal system: cubic

The structure in CIF format:
```
data_In2SCl
_chemical_formula_sum 'In8 S4 Cl4'
_symmetry_space_group_name_H-M 'F m -3 m'
_symmetry_Int_Tables_number 225
_symmetry_space_group_name_Hall '-F 4 2 3'
_cell_length_a 7.069
_cell_length_b 7.069
_cell_length_c 7.069
_cell_angle_alpha 90.00
_cell_angle_beta 90.00
_cell_angle_gamma 90.00
loop_
_atom_site_label
_atom_site_fract_x
_atom_site_fract_y
_atom_site_fract_z
In1 0.250 0.250 0.250
S1 0.000 0.000 0.000
Cl1 0.000 0.000 0.500
```



no.,total moment (μB/atom),DOS at the Fermi energy (states/eV/cell)
1,0.750,2.0
2,0.001,3.7
3,0.323,5.5
4,0.000,6.0
5,0.000,0.0
6,1.901,1.9
7,0.601,1.7
8,0.000,0.3
9,1.237,1.9
10,0.017,7.3
11,0.015,3.1
12,0.000,8.4